Compound: MnHgIO2
Source: Alexandria via LeMat-Bulk
Functional: GGA+U
Structure: relaxed

As for the size of the total moment: 6.05 μB/f.u. The energy above the most stable polymorph in this dataset comes out at 0.680 eV per atom. The density is 5.939 g/cm³.

It has space group P4/mmm (No. 123), with a = 4.250 Å, b = 4.250 Å, c = 6.415 Å, α = 90.00°, β = 90.00° and γ = 90.00°. The asymmetric unit holds Mn at (0.000, 0.000, 0.000), Hg at (0.500, 0.500, 0.500), I at (0.500, 0.500, 0.000) and O at (0.000, 0.500, 0.500).